Mg2B2PRh5: optimized geometry, PBE-GGA.

Values from the calculation:
DOS(E_F): 0.477 states/eV per atom
calculated volume: 253 Å³/cell
total DFT energy (no corrections): -6.497 eV/atom
ΔE_f: -0.626 eV per atom
SG: P4/mbm, No. 127

Structure (extended XYZ):
```
20
Lattice="-0.5198 2.7628 0.8176 -8.3376 -0.3522 -4.1107 -3.7808 -3.0582 7.9304" Properties=species:S:1:pos:R:3 pbc="T T T"
Rh -4.4287 1.2053 -1.6466
Rh -8.7764 0.4172 -1.7477
Rh -7.7814 -0.1737 0.8817
Rh -10.3632 -1.7320 4.5059
Rh -4.8568 -0.4739 3.7556
Rh -7.7170 -0.9873 3.6719
Rh -2.2750 1.0844 0.1313
Rh -4.9212 0.3397 0.9654
Rh -2.1503 -0.1477 4.3740
Rh -3.8618 -1.0648 6.3849
B -8.7022 -1.4519 -0.6264
B -8.5233 -2.8936 4.3590
B -3.4162 -1.9585 4.4461
B -3.5951 -0.5168 -0.5393
P 0.0000 0.0000 0.0000
P -6.0592 -1.7052 1.9098
Mg -9.4372 -2.3509 1.9442
Mg -5.8464 -2.6424 5.2121
Mg -6.2719 -0.7680 -1.3925
Mg -2.6812 -1.0595 1.8755
```